Entry 1:
Entry from the Alexandria database: a relaxed ThCuGeH crystal (PBE-GGA).

Cell lengths 4.2071, 4.2075, 4.1625 Å; angles 90.00, 90.00, 120.00 degrees
Closest atoms and distances in Å follow each position.
Sites, in units of the cell vectors:
1 H 0.2384 0.4768 0.8433  1 Cu 1.81
2 Ge 0.5720 0.1440 0.3181  3 Cu 2.43-2.44
3 Th 0.9052 0.8104 0.8002  3 H 2.43-2.44
4 Cu 0.2388 0.4775 0.2775  1 H 1.81

---

Entry 2:
Entry from the Alexandria database: a relaxed ZrTl5Se5 crystal (PBE-GGA).

Cell lengths 5.9886, 7.7342, 8.7865 Å; angles 111.35, 90.00, 112.78 degrees
Closest atoms and distances in Å follow each position.
Sites, in units of the cell vectors:
1 Se 0.5000 0.0000 0.0000  2 Zr 2.99, 4 Tl 3.04-3.23
2 Se 0.1529 0.3059 0.8966  1 Zr 2.67
3 Se 0.1413 0.2825 0.3081  1 Zr 2.66
4 Se 0.8471 0.6941 0.1034  1 Zr 2.67
5 Se 0.8587 0.7175 0.6919  1 Zr 2.66
6 Tl 0.7016 0.4032 0.2996  5 Se 3.04-3.29
7 Tl 0.6420 0.2840 0.7907  4 Se 3.12-3.23
8 Tl 0.2984 0.5968 0.7004  5 Se 3.04-3.29
9 Tl 0.3580 0.7160 0.2093  4 Se 3.12-3.23
10 Tl 0.0000 0.0000 0.5000  4 Se 3.10-3.30
11 Zr 0.0000 0.0000 0.0000  4 Se 2.66-2.67

---

Entry 3:
Entry from the Alexandria database: a relaxed Th3BiCN crystal (PBE-GGA).

Cell lengths 4.1125, 8.0991, 9.4752 Å; angles 110.45, 90.00, 90.00 degrees
Closest atoms and distances in Å follow each position.
Sites, in units of the cell vectors:
1 C 0.7500 0.3197 0.8589  6 Th 2.48-2.73
2 C 0.2500 0.6803 0.1411  6 Th 2.48-2.73
3 Th 0.7500 0.2013 0.5611  3 N 2.34-2.35
4 Th 0.7500 0.8888 0.1398  1 N 2.34
5 Th 0.2500 0.5427 0.8632  3 C 2.48-2.73
6 Th 0.2500 0.7987 0.4389  3 N 2.34-2.35
7 Th 0.2500 0.1112 0.8602  1 N 2.34
8 Th 0.7500 0.4573 0.1368  3 C 2.48-2.73
9 N 0.2500 0.0917 0.6076  4 Th 2.34-2.35
10 N 0.7500 0.9083 0.3924  4 Th 2.34-2.35
11 Bi 0.7500 0.7561 0.7207  6 Th 3.27-3.48
12 Bi 0.2500 0.2439 0.2793  6 Th 3.27-3.48

---

Entry 4:
Entry from the Alexandria database: a relaxed Rb2PaRuO6 crystal (PBE-GGA).

Cell lengths 4.2465, 4.2465, 8.4199 Å; angles 90.00, 90.00, 90.00 degrees
Closest atoms and distances in Å follow each position.
Sites, in units of the cell vectors:
1 O 0.5000 0.0000 0.5000  2 Ru 2.12
2 O 0.5000 0.5000 0.7325  1 Ru 1.96
3 O 0.5000 0.0000 0.0000  2 Pa 2.12
4 O 0.0000 0.5000 0.0000  2 Pa 2.12
5 O 0.5000 0.5000 0.2675  1 Ru 1.96
6 O 0.0000 0.5000 0.5000  2 Ru 2.12
7 Ru 0.5000 0.5000 0.5000  6 O 1.96-2.12
8 Rb 0.0000 0.0000 0.2748  12 O 2.85-3.14
9 Rb 0.0000 0.0000 0.7252  12 O 2.85-3.14
10 Pa 0.5000 0.5000 0.0000  6 O 2.12-2.25

---

Entry 5:
Entry from the Alexandria database: a relaxed CoSn3 crystal (PBE-GGA).

Cell lengths 3.3092, 6.0219, 5.5567 Å; angles 122.81, 107.32, 90.00 degrees
Closest atoms and distances in Å follow each position.
Sites, in units of the cell vectors:
1 Sn 0.6826 0.0232 0.3653  2 Co 2.71
2 Sn 0.5000 0.4065 0.0000  2 Co 2.57
3 Sn 0.3174 0.6579 0.6347  2 Co 2.71
4 Co 0.0000 0.0791 0.0000  6 Sn 2.57-2.71

---

Entry 6:
Entry from the Alexandria database: a relaxed TlZnSi2 crystal (PBE-GGA).

Computed properties:
Relative energy among the computed polymorphs: 288 meV per atom

Cell lengths 5.0860, 3.9060, 3.9060 Å; angles 90.00, 90.00, 90.00 degrees
Closest atoms and distances in Å follow each position.
Sites, in units of the cell vectors:
1 Zn 0.5000 0.0000 0.5000  4 Tl 2.76
2 Si 0.0000 0.0000 0.0000  4 Si 2.76
3 Si 0.0000 0.5000 0.5000  4 Si 2.76
4 Tl 0.5000 0.5000 0.0000  4 Zn 2.76

---

Entry 7:
Entry from the Alexandria database: a relaxed Co4RuCl crystal (PBE-GGA).

Cell lengths 4.8157, 4.8157, 4.8157 Å; angles 60.00, 60.00, 60.00 degrees
Closest atoms and distances in Å follow each position.
Sites, in units of the cell vectors:
1 Co 0.3757 0.3757 0.8730  6 Co 2.40-2.42
2 Co 0.3757 0.3757 0.3757  6 Co 2.40-2.42
3 Co 0.3757 0.8730 0.3757  6 Co 2.40-2.42
4 Co 0.8730 0.3757 0.3757  6 Co 2.40-2.42
5 Cl 0.0000 0.0000 0.0000  12 Co 2.82, 4 Ru 2.95
6 Ru 0.7500 0.7500 0.7500  12 Co 2.82, 4 Cl 2.95

---

Entry 8:
Entry from the Alexandria database: a relaxed PPb crystal (PBE-GGA).

Cell lengths 5.5972, 5.5972, 7.8714 Å; angles 90.00, 90.00, 120.00 degrees
Closest atoms and distances in Å follow each position.
Sites, in units of the cell vectors:
1 Pb 0.6667 0.3333 0.2500  2 P 2.89, 3 Pb 3.23
2 Pb 0.3333 0.6667 0.7500  2 P 2.89, 3 Pb 3.23
3 Pb 0.0000 0.0000 0.2500  3 Pb 3.23, 6 P 3.40
4 Pb 0.0000 0.0000 0.7500  3 Pb 3.23, 6 P 3.40
5 P 0.3333 0.6667 0.3829  1 P 2.09
6 P 0.3333 0.6667 0.1171  1 P 2.09
7 P 0.6667 0.3333 0.6171  1 P 2.09
8 P 0.6667 0.3333 0.8829  1 P 2.09

---

Number 1: electronic total energy -5.520 eV per atom, DOS(E_F) 0.003 states/eV per atom. Number 2: electronic total energy -3.985 eV per atom, DOS(E_F) 0.524 states/eV per atom. Number 3: electronic total energy -8.102 eV per atom, DOS(E_F) 0.408 states/eV per atom. Number 4: electronic total energy -7.052 eV per atom, DOS(E_F) 0.418 states/eV per atom. Number 5: electronic total energy -4.660 eV per atom, DOS(E_F) 0.751 states/eV per atom. Number 6: electronic total energy -3.072 eV per atom, DOS(E_F) 0.368 states/eV per atom. Number 7: electronic total energy -5.909 eV per atom, DOS(E_F) 1.241 states/eV per atom. Number 8: electronic total energy -4.069 eV per atom, DOS(E_F) 0.712 states/eV per atom.